DFT (PBE with a Hubbard U) results for a relaxed structure of Ti2MnF8.

Lattice parameters (Å, degrees): 5.255 5.354 5.354 74.99 100.85 100.85
Site moments in Bohr magnetons follow the coordinates.
Sites, in units of the cell vectors:
F 0.205 0.825 0.825  0.02
F 0.687 0.658 0.046  0.01
F 0.795 0.175 0.175  0.02
F 0.268 0.445 0.445  -0.01
F 0.313 0.342 0.954  0.01
F 0.313 0.954 0.342  0.01
F 0.687 0.046 0.658  0.01
F 0.732 0.555 0.555  -0.01
Mn 0.000 0.000 0.000  4.69
Ti 0.446 0.683 0.683  0.96
Ti 0.554 0.317 0.317  0.96

Results
Its space group is C2/m. Its spin magnetization is 7.0 μB per formula unit. Its final energy is -6.54 eV/atom. The calculation puts the density at 3.555 g/cm³.